[1]
First-principles (PBE-GGA) data for an optimized crystal structure of Tb5Dy12Y2, as listed in Alexandria.

ΔE_f = 0.117 eV per atom
crystal system = triclinic
energy above the lowest structure with this stoichiometry = 0.000 eV/atom

Cell lengths 6.692, 8.851, 11.122 Å; angles 108.50, 90.78, 100.72 degrees
Space group P-1 (No. 2)
Asymmetric unit:
Tb (0.000, 0.000, 0.000) [1 per cell]
Tb (0.236, 0.445, 0.007) [2 per cell]
Tb (0.255, 0.523, 0.488) [2 per cell]
Dy (0.089, 0.745, 0.272) [2 per cell]
Dy (0.121, 0.911, 0.644) [2 per cell]
Dy (0.131, 0.649, 0.801) [2 per cell]
Dy (0.358, 0.257, 0.216) [2 per cell]
Dy (0.427, 0.339, 0.718) [2 per cell]
Dy (0.476, 0.879, 0.093) [2 per cell]
Y (0.379, 0.094, 0.431) [2 per cell]

---

[2]
First-principles (PBE-GGA) data for an optimized crystal structure of BaGa6I8, as listed in Alexandria.

crystal system = trigonal
formation energy without anion corrections = -8.604 eV/f.u.

Cell lengths 11.1226, 11.1226, 6.3853 Å; angles 90.00, 90.00, 120.00 degrees
Space group P-3 (No. 147)
Asymmetric unit:
Ba (0.0000, 0.0000, 0.0000) [1 per cell]
Ga (0.0840, 0.4459, 0.1097) [6 per cell]
I (0.0590, 0.7604, 0.2591) [6 per cell]
I (0.3333, 0.6667, 0.8584) [2 per cell]

---

[3]
First-principles (PBE-GGA) data for an optimized crystal structure of Ac2CdPd12Au3, as listed in Alexandria.

ΔE_f = -0.329 eV per atom
crystal system = trigonal

Cell lengths 9.3087, 9.3087, 13.7908 Å; angles 90.00, 90.00, 120.00 degrees
Space group R-3m (No. 166, hexagonal axes)
Asymmetric unit:
Ac (0.0000, 0.0000, 0.1987) [6 per cell]
Cd (0.0000, 0.0000, 0.5000) [3 per cell]
Pd (0.0103, 0.5052, 0.2048) [18 per cell]
Pd (0.0254, 0.5127, 0.6046) [18 per cell]
Au (0.0000, 0.5000, 0.0000) [9 per cell]

---

[4]
First-principles (PBE-GGA) data for an optimized crystal structure of InIrW, as listed in Alexandria.

ΔE_f = 0.063 eV per atom
crystal system = tetragonal

Cell lengths 2.933, 2.933, 11.919 Å; angles 90.00, 90.00, 90.00 degrees
Space group I4mm (No. 107)
Asymmetric unit:
In (0.000, 0.000, 0.000) [2 per cell]
Ir (0.000, 0.000, 0.323) [2 per cell]
W (0.000, 0.000, 0.683) [2 per cell]

---

[5]
First-principles (PBE-GGA) data for an optimized crystal structure of FeRuW2, as listed in Alexandria.

ΔE_f = 0.124 eV per atom
crystal system = orthorhombic
energy above the lowest structure with this stoichiometry = 0.013 eV/atom

Cell lengths 2.763, 3.782, 5.481 Å; angles 90.00, 90.00, 90.00 degrees
Space group Pmmm (No. 47)
Asymmetric unit:
Fe (0.000, 0.000, 0.000) [1 per cell]
Ru (0.000, 0.000, 0.500) [1 per cell]
W (0.500, 0.500, 0.244) [2 per cell]

---

[6]
First-principles (PBE-GGA) data for an optimized crystal structure of Rb2Li2DyI6, as listed in Alexandria.

crystal system = monoclinic
formation energy without anion corrections = -13.147 eV/f.u.

Cell lengths 14.251, 8.671, 8.733 Å; angles 90.00, 114.40, 90.00 degrees
Space group C2/m (No. 12)
Asymmetric unit:
Rb (0.203, 0.000, 0.168) [4 per cell]
Li (0.062, 0.500, 0.273) [4 per cell]
Dy (0.000, 0.000, 0.500) [2 per cell]
I (0.054, 0.246, 0.785) [8 per cell]
I (0.236, 0.000, 0.603) [4 per cell]

---

[7]
First-principles (PBE-GGA) data for an optimized crystal structure of ErNp2Ni9, as listed in Alexandria.

ΔE_f = -0.256 eV per atom
crystal system = trigonal

Cell lengths 4.8863, 4.8863, 24.4178 Å; angles 90.00, 90.00, 120.00 degrees
Space group R-3m (No. 166, hexagonal axes)
Asymmetric unit:
Er (0.0000, 0.0000, 0.0000) [3 per cell]
Np (0.0000, 0.0000, 0.1440) [6 per cell]
Ni (0.0000, 0.0000, 0.3329) [6 per cell]
Ni (0.0000, 0.0000, 0.5000) [3 per cell]
Ni (0.9999, 0.5000, 0.0823) [18 per cell]

---

[8]
First-principles (PBE-GGA) data for an optimized crystal structure of BaSr2As, as listed in Alexandria.

ΔE_f = -0.538 eV per atom
crystal system = orthorhombic

Cell lengths 5.746, 5.757, 10.569 Å; angles 90.00, 90.00, 90.00 degrees
Space group Cmm2 (No. 35)
Asymmetric unit:
Ba (0.000, 0.000, 0.000) [2 per cell]
Sr (0.000, 0.000, 0.682) [2 per cell]
Sr (0.000, 0.500, 0.356) [2 per cell]
As (0.000, 0.500, 0.828) [2 per cell]